Compound: SrLa2GaI
Source: Alexandria via LeMat-Bulk
Functional: PBE
Structure: optimized geometry

Cell: 5.848 6.395 5.848 Å, 90.00 90.00 90.00°
Element x y z (fractional)
I (0.000, 0.500, 0.000)
Sr (0.500, 0.500, 0.500)
Ga (0.000, 0.000, 0.000)
La (0.000, 0.000, 0.500)
La (0.500, 0.000, 0.000)

Results
The energy is -0.2344 Ry per atom. The calculation puts the uncorrected formation energy at 0.034 eV per atom. As for the space group: P4/mmm. As for the density of states at the Fermi level: 6.3 states/eV/f.u.

Compound: MnTc4Se
Source: Alexandria via LeMat-Bulk
Functional: PBE
Structure: optimized geometry

Cell: 5.166 5.166 5.166 Å, 60.00 60.00 60.00°
Element x y z (fractional)
Mn (0.750, 0.750, 0.750)
Tc (0.876, 0.375, 0.375)
Tc (0.375, 0.375, 0.876)
Tc (0.375, 0.876, 0.375)
Tc (0.375, 0.375, 0.375)
Se (0.000, 0.000, 0.000)

Results
The energy is -0.6187 Ry per atom. The calculation puts the uncorrected formation energy at 0.603 eV per atom. As for the space group: F-43m. As for the density of states at the Fermi level: 6.3 states/eV/f.u.

Compound: Re4AsP
Source: Alexandria via LeMat-Bulk
Functional: PBE
Structure: optimized geometry

Cell: 5.234 5.234 5.234 Å, 60.00 60.00 60.00°
Element x y z (fractional)
Re (0.625, 0.625, 0.124)
Re (0.625, 0.124, 0.625)
Re (0.625, 0.625, 0.625)
Re (0.124, 0.625, 0.625)
As (0.250, 0.250, 0.250)
P (0.000, 0.000, 0.000)

Results
The energy is -0.6607 Ry per atom. As for the space group: F-43m. As for the density of states at the Fermi level: 5.0 states/eV/f.u.

> Which of these has the lowest energy?

Re4AsP

> density of states at the Fermi level of number 1 (SrLa2GaI)?

6.3 states/eV/f.u.